(1)
meta-GGA SCAN InAuNO2, single point on PBEsol structure; E = -121.510 eV per cell; crystal system = tetragonal; space-group type = P4/mmm (123); raw formation energy = 53.78 kJ per mole of atoms
1.0
4.1322 0.0000 0.0000
0.0000 4.1322 0.0000
0.0000 0.0000 3.8281
In Au N O
1 1 1 2
direct
0.0000 0.0000 0.0000 In
0.5000 0.5000 0.5000 Au
0.5000 0.5000 0.0000 N
0.0000 0.5000 0.5000 O
0.5000 0.0000 0.5000 O

(2)
meta-GGA SCAN InTe2AuN, single point on PBEsol structure; E = -181.001 eV per cell; crystal system = tetragonal; space-group type = P4/mmm (123); raw formation energy = 102.96 kJ per mole of atoms
1.0
5.7067 0.0000 0.0000
0.0000 5.7067 0.0000
0.0000 0.0000 3.9009
In Te Au N
1 2 1 1
direct
0.0000 0.0000 0.0000 In
0.0000 0.5000 0.0000 Te
0.5000 0.0000 0.0000 Te
0.5000 0.5000 0.5000 Au
0.0000 0.0000 0.5000 N

(3)
meta-GGA SCAN NaIn2Au2, single point on PBEsol structure; energy relative to the lowest polymorph listed for this composition = 0.000 eV/f.u.; E = -210.988 eV per cell; crystal system = tetragonal; space-group type = I4/mmm (139)
1.0
-2.2459 2.2459 5.8771
2.2459 -2.2459 5.8771
2.2459 2.2459 -5.8771
Na In Au
1 2 2
direct
0.0000 0.0000 0.0000 Na
0.2500 0.7500 0.5000 In
0.7500 0.2500 0.5000 In
0.3879 0.3879 0.0000 Au
0.6121 0.6121 0.0000 Au